Entry 1:
Below is a relaxed Sr2ZnSi3Pd4 crystal, with properties calculated at the PBE-GGA level.

The calculated volume comes out at 19.13 Å³/atom. The calculation puts the total energy at -48.71 eV/f.u. The calculation puts the uncorrected formation energy at -0.7035 eV per atom.

Lattice parameters (Å, degrees): 4.4066 4.4066 9.8491 90.00 90.00 90.00
With the nearest neighbours (Å) after each atom.
Space group P-4m2 (No. 115)
Inequivalent atoms, fractional coordinates:
Sr 0.0000 0.5000 0.2481 (multiplicity 2)  2 Zn 3.29, 7 Si 3.29-3.65, 8 Pd 3.32
Zn 0.5000 0.5000 0.0000 (multiplicity 1)  4 Pd 2.56
Si 0.0000 0.0000 0.0000 (multiplicity 1)  4 Pd 2.56
Si 0.0000 0.5000 0.6189 (multiplicity 2)  5 Pd 2.46-2.50
Pd 0.0000 0.0000 0.5000 (multiplicity 1)  4 Si 2.50
Pd 0.0000 0.5000 0.8686 (multiplicity 2)  3 Si 2.46-2.56, 2 Zn 2.56
Pd 0.5000 0.5000 0.5000 (multiplicity 1)  4 Si 2.50

=====

Entry 2:
Below is a relaxed CaBe2Au5 crystal, with properties calculated at the PBE-GGA level.

The calculated volume comes out at 17.73 Å³/atom. The calculation puts the total energy at -28.42 eV/f.u. The calculation puts the offset from the most stable computed form at 7 meV per atom.

Lattice parameters (Å, degrees): 4.0577 6.9348 10.0807 90.00 90.00 90.00
With the nearest neighbours (Å) after each atom.
Space group Immm (No. 71)
Inequivalent atoms, fractional coordinates:
Ca 0.0000 0.0000 0.0000 (multiplicity 2)  10 Au 3.24-3.47, 4 Be 3.35
Be 0.0000 0.5000 0.2355 (multiplicity 4)  3 Au 2.31-2.37
Au 0.0000 0.2105 0.3483 (multiplicity 8)  1 Be 2.31
Au 0.0000 0.5000 0.0000 (multiplicity 2)  2 Be 2.37

=====

Entry 3:
Below is a relaxed CuReAsBr2 crystal, with properties calculated at the PBE-GGA level.

The calculated volume comes out at 26.02 Å³/atom. The calculation puts the total energy at -20.25 eV/f.u. The calculation puts the offset from the most stable computed form at 0 meV per atom. The calculation puts the uncorrected formation energy at 0.8572 eV per atom.

Lattice parameters (Å, degrees): 5.2354 5.2354 4.7473 90.00 90.00 90.00
With the nearest neighbours (Å) after each atom.
Space group P4/mmm (No. 123)
Inequivalent atoms, fractional coordinates:
Cu 0.0000 0.0000 0.0000 (multiplicity 1)  8 Br 3.53, 4 As 3.70
Re 0.5000 0.5000 0.5000 (multiplicity 1)  2 As 2.37, 4 Br 2.62
As 0.5000 0.5000 0.0000 (multiplicity 1)  2 Re 2.37
Br 0.0000 0.5000 0.5000 (multiplicity 2)  2 Re 2.62

=====

Entry 4:
Below is a relaxed CrInAs crystal, with properties calculated at the PBE-GGA level.

The calculated volume comes out at 18.03 Å³/atom. The calculation puts the total energy at -16.44 eV/f.u. The calculation puts the offset from the most stable computed form at 173 meV per atom.

Lattice parameters (Å, degrees): 3.1388 3.1388 6.3407 90.00 90.00 120.00
With the nearest neighbours (Å) after each atom.
Space group P3m1 (No. 156)
Inequivalent atoms, fractional coordinates:
Cr 0.0000 0.0000 0.0000 (multiplicity 1)  3 As 2.40
In 0.6667 0.3333 0.3374 (multiplicity 1)  3 Cr 2.80, 6 In 3.14
As 0.3333 0.6667 0.7525 (multiplicity 1)  3 Cr 2.40

=====

Entry 5:
Below is a relaxed InBi2S4Cl crystal, with properties calculated at the PBE-GGA level.

The calculated volume comes out at 25.99 Å³/atom. The calculation puts the total energy at -33.09 eV/f.u. The calculation puts the uncorrected formation energy at -0.5295 eV per atom.

Lattice parameters (Å, degrees): 12.8218 3.9177 9.5916 90.00 120.35 90.00
With the nearest neighbours (Å) after each atom.
Space group C2/m (No. 12)
Inequivalent atoms, fractional coordinates:
In 0.0000 0.0000 0.0000 (multiplicity 2)  6 S 2.57-2.71
Bi 0.1951 0.0000 0.7543 (multiplicity 4)  3 S 2.70
S 0.1176 0.5000 0.9388 (multiplicity 4)  1 Bi 2.70, 2 In 2.71
S 0.1797 0.0000 0.2915 (multiplicity 4)  1 In 2.57, 2 Bi 2.70
Cl 0.0000 0.5000 0.5000 (multiplicity 2)  4 Bi 3.14

=====

Entry 6:
Below is a relaxed LiTi2PtO crystal, with properties calculated at the PBE-GGA level.

The calculated volume comes out at 12.79 Å³/atom. The calculation puts the total energy at -35.96 eV/f.u. The calculation puts the uncorrected formation energy at -1.4506 eV per atom.

Lattice parameters (Å, degrees): 4.1176 4.1176 3.7711 90.00 90.00 90.00
With the nearest neighbours (Å) after each atom.
Space group P4/mmm (No. 123)
Inequivalent atoms, fractional coordinates:
Li 0.0000 0.0000 0.0000 (multiplicity 1)  2 O 1.89
Ti 0.0000 0.5000 0.5000 (multiplicity 2)  2 O 2.06
Pt 0.5000 0.5000 0.0000 (multiplicity 1)  8 Ti 2.79, 4 Li 2.91
O 0.0000 0.0000 0.5000 (multiplicity 1)  2 Li 1.89, 4 Ti 2.06

=====

Entry 7:
Below is a relaxed TbNi12As6 crystal, with properties calculated at the PBE-GGA level.

The calculated volume comes out at 13.97 Å³/atom. The calculation puts the total energy at -106.42 eV/f.u.

Lattice parameters (Å, degrees): 10.6770 10.6770 8.0679 90.00 90.00 120.00
With the nearest neighbours (Å) after each atom.
Space group R-3m (No. 166, hexagonal axes)
Inequivalent atoms, fractional coordinates:
Tb 0.0000 0.0000 0.0000 (multiplicity 3)  6 Ni 3.14, 6 As 3.47
Ni 0.0000 0.3784 0.5000 (multiplicity 18)  4 As 2.31
Ni 0.0839 0.1679 0.3383 (multiplicity 18)  3 As 2.42-2.43, 4 Ni 2.69
As 0.0376 0.5188 0.2671 (multiplicity 18)  7 Ni 2.31-2.43

=====

Entry 8:
Below is a relaxed AlCrRu2 crystal, with properties calculated at the PBE-GGA level.

The calculated volume comes out at 13.57 Å³/atom. The calculation puts the total energy at -32.05 eV/f.u.

Lattice parameters (Å, degrees): 2.7085 4.0636 4.9798 90.00 98.01 90.00
With the nearest neighbours (Å) after each atom.
Space group P2/m (No. 10)
Inequivalent atoms, fractional coordinates:
Al 0.0000 0.0000 0.0000 (multiplicity 1)  4 Ru 2.55, 2 Cr 2.66, 2 Al 2.71
Cr 0.5000 0.0000 0.5000 (multiplicity 1)  4 Ru 2.50, 2 Al 2.66, 2 Cr 2.71
Ru 0.2667 0.5000 0.7465 (multiplicity 2)  2 Cr 2.50, 2 Al 2.55, 4 Ru 2.66-2.71